HoAl2Cl8 PBE relaxed; volume = 34.82 Å³ per atom; formation energy without anion corrections = -17.41 eV per formula unit; total moment = 1.01 μB/cell; symmetry = C2/m
1.0
6.701 -4.501 0.000
6.701 4.501 0.000
-0.881 0.000 6.349
Ho Al Cl
1 2 8
Cartesian
0.000 0.000 0.000
1.932 0.000 4.086
10.589 0.000 2.263
5.144 2.851 1.508
1.997 0.000 1.848
7.376 2.851 4.840
3.916 0.000 4.796
8.605 0.000 1.553
5.144 -2.851 1.508
10.524 0.000 4.500
7.376 -2.851 4.840

AlI3Cl PBE relaxed; volume = 39.06 Å³ per atom; formation energy without anion corrections = 1.80 eV per formula unit; total moment = 0.00 μB/cell; symmetry = Pm-3m; E above lowest polymorph = 95.98 kJ/mol of atoms
1.0
5.802 0.000 0.000
0.000 5.802 0.000
0.000 0.000 5.802
Al I Cl
1 3 1
Cartesian
0.000 0.000 0.000
0.000 2.901 2.901
2.901 0.000 2.901
2.901 2.901 0.000
2.901 2.901 2.901

Al2ICl PBE relaxed; volume = 28.37 Å³ per atom; formation energy without anion corrections = -0.06 eV per formula unit; total moment = 0.00 μB/cell; symmetry = Fm-3m; E above lowest polymorph = 5.52 kJ/mol of atoms
1.0
0.000 3.843 3.843
3.843 0.000 3.843
3.843 3.843 0.000
Al I Cl
2 1 1
Cartesian
1.921 1.921 1.921
5.764 5.764 5.764
0.000 0.000 0.000
3.843 3.843 3.843

AlICl2 PBE relaxed; volume = 33.68 Å³ per atom; formation energy without anion corrections = -2.25 eV per formula unit; total moment = 0.78 μB/cell; symmetry = I-42d; E above lowest polymorph = 60.94 kJ/mol of atoms
1.0
-3.662 3.662 5.024
3.662 -3.662 5.024
3.662 3.662 -5.024
Al I Cl
2 2 4
Cartesian
0.000 0.000 0.000
0.000 3.662 2.512
3.662 0.000 2.512
0.000 0.000 5.024
0.480 1.831 1.256
-1.831 3.182 3.768
-0.480 5.493 1.256
1.831 4.142 3.768